# 1
First-principles (PBE) data for a relaxed structure of Y2AsH, as listed in the Alexandria database.

As for the calculated density: 5.13 g/cm³. The crystal system is trigonal. The energy above the most stable polymorph in this dataset is 91 meV per atom.

Cell lengths 6.419, 6.419, 6.419 Å; angles 36.11, 36.11, 36.11 degrees
Fractional coordinates of all 4 atoms:
Y: 0.244 0.244 0.244
Y: 0.756 0.756 0.756
As: 0.000 0.000 0.000
H: 0.500 0.500 0.500

***

# 2
First-principles (PBE) data for a relaxed structure of Mn3InC, as listed in the Alexandria database.

As for the calculated density: 3.71 g/cm³. The crystal system is cubic. The energy above the most stable polymorph in this dataset is 2316 meV per atom. As for the formation energy: 2.3464 eV/atom.

Cell lengths 5.071, 5.071, 5.071 Å; angles 90.00, 90.00, 90.00 degrees
Fractional coordinates of all 5 atoms:
Mn: 0.000 0.000 0.500
Mn: 0.000 0.500 0.000
Mn: 0.500 0.000 0.000
In: 0.000 0.000 0.000
C: 0.500 0.500 0.500